(1)
This record from Alexandria via LeMat-Bulk describes SrLa2Sn2 after structural relaxation. The functional is PBE-GGA.

Computed properties:
The total energy is -4.24 eV per atom. Its polymorph energy (0 for the lowest one) is 332 meV/atom.

abc: 7.086 7.086 7.086
angles: 129.91 129.91 73.56
Fractional positions:
Sr (0.000, 0.000, 0.000)
La (0.332, 0.332, 0.000)
La (0.668, 0.668, 0.000)
Sn (0.250, 0.750, 0.500)
Sn (0.750, 0.250, 0.500)


(2)
This record from Alexandria via LeMat-Bulk describes ZnCd2Br after structural relaxation. The functional is PBE-GGA.

Computed properties:
The total energy is -1.32 eV per atom. Its polymorph energy (0 for the lowest one) is 18 meV/atom. As for the energy relative to the elements, uncorrected: -0.127 eV per atom.

abc: 8.412 8.412 8.412
angles: 25.51 25.51 25.51
Fractional positions:
Zn (0.000, 0.000, 0.000)
Cd (0.494, 0.494, 0.494)
Cd (0.741, 0.741, 0.741)
Br (0.259, 0.259, 0.259)


(3)
This record from Alexandria via LeMat-Bulk describes LaSiIr2 after structural relaxation. The functional is PBE-GGA.

Computed properties:
The total energy is -7.43 eV per atom. As for the energy relative to the elements, uncorrected: -0.416 eV per atom.

abc: 2.985 3.533 7.089
angles: 90.00 99.82 90.00
Fractional positions:
La (0.000, 0.000, 0.000)
Si (0.000, 0.000, 0.500)
Ir (0.390, 0.500, 0.682)
Ir (0.610, 0.500, 0.318)


(4)
This record from Alexandria via LeMat-Bulk describes Li2TbDy2Sn2 after structural relaxation. The functional is PBE-GGA.

Computed properties:
The total energy is -4.12 eV per atom.

abc: 9.264 9.264 9.264
angles: 29.89 29.89 29.89
Fractional positions:
Li (0.097, 0.097, 0.097)
Li (0.903, 0.903, 0.903)
Tb (0.500, 0.500, 0.500)
Dy (0.371, 0.371, 0.371)
Dy (0.629, 0.629, 0.629)
Sn (0.237, 0.237, 0.237)
Sn (0.763, 0.763, 0.763)


(5)
This record from Alexandria via LeMat-Bulk describes LaYZr2 after structural relaxation. The functional is PBE-GGA.

Computed properties:
The total energy is -6.94 eV per atom. Its polymorph energy (0 for the lowest one) is 71 meV/atom.

abc: 3.362 4.915 6.694
angles: 90.00 90.00 90.00
Fractional positions:
La (0.000, 0.000, 0.000)
Y (0.000, 0.000, 0.500)
Zr (0.500, 0.500, 0.257)
Zr (0.500, 0.500, 0.743)


(6)
This record from Alexandria via LeMat-Bulk describes BaTlTc after structural relaxation. The functional is PBE-GGA.

Computed properties:
The total energy is -4.27 eV per atom. Its polymorph energy (0 for the lowest one) is 30 meV/atom.

abc: 4.779 4.779 4.840
angles: 90.00 90.00 120.00
Fractional positions:
Ba (0.000, 0.000, 0.000)
Tl (0.667, 0.333, 0.500)
Tc (0.333, 0.667, 0.500)


(7)
This record from Alexandria via LeMat-Bulk describes YAlF after structural relaxation. The functional is PBE-GGA.

Computed properties:
The total energy is -5.73 eV per atom. As for the energy relative to the elements, uncorrected: -1.706 eV per atom.

abc: 3.346 3.346 9.227
angles: 90.00 90.00 90.00
Fractional positions:
Y (0.250, 0.250, 0.193)
Y (0.750, 0.750, 0.807)
Al (0.250, 0.250, 0.581)
Al (0.750, 0.750, 0.419)
F (0.250, 0.250, 0.933)
F (0.750, 0.750, 0.067)


(8)
This record from Alexandria via LeMat-Bulk describes KUZnSe3 after structural relaxation. The functional is PBE-GGA.

Computed properties:
The total energy is -5.04 eV per atom. As for the energy relative to the elements, uncorrected: -1.016 eV per atom.

abc: 9.197 4.130 9.895
angles: 90.00 107.84 90.00
Fractional positions:
K (0.202, 0.250, 0.232)
K (0.798, 0.750, 0.768)
U (0.335, 0.750, 0.859)
U (0.665, 0.250, 0.141)
Zn (0.086, 0.250, 0.609)
Zn (0.914, 0.750, 0.391)
Se (0.108, 0.250, 0.861)
Se (0.200, 0.750, 0.533)
Se (0.455, 0.750, 0.164)
Se (0.545, 0.250, 0.836)
Se (0.800, 0.250, 0.467)
Se (0.892, 0.750, 0.139)


(9)
This record from Alexandria via LeMat-Bulk describes DyCl after structural relaxation. The functional is PBE-GGA.

Computed properties:
The total energy is -4.60 eV per atom. As for the energy relative to the elements, uncorrected: -1.374 eV per atom.

abc: 3.626 3.626 8.572
angles: 90.00 90.00 90.00
Fractional positions:
Dy (0.250, 0.250, 0.146)
Dy (0.750, 0.750, 0.854)
Cl (0.250, 0.250, 0.695)
Cl (0.750, 0.750, 0.305)


(10)
This record from Alexandria via LeMat-Bulk describes TaIn2As after structural relaxation. The functional is PBE-GGA.

Computed properties:
The total energy is -5.49 eV per atom.

abc: 3.376 3.376 7.726
angles: 90.00 90.00 90.00
Fractional positions:
Ta (0.000, 0.000, 0.000)
In (0.000, 0.000, 0.421)
In (0.500, 0.500, 0.740)
As (0.500, 0.500, 0.145)


(11)
This record from Alexandria via LeMat-Bulk describes Dy12In3Ag after structural relaxation. The functional is PBE-GGA.

Computed properties:
The total energy is -4.34 eV per atom.

abc: 4.841 4.841 19.167
angles: 90.00 90.00 90.00
Fractional positions:
Dy (0.000, 0.000, 0.000)
Dy (0.000, 0.000, 0.246)
Dy (0.000, 0.000, 0.500)
Dy (0.000, 0.000, 0.754)
Dy (0.000, 0.500, 0.121)
Dy (0.000, 0.500, 0.374)
Dy (0.000, 0.500, 0.626)
Dy (0.000, 0.500, 0.879)
Dy (0.500, 0.000, 0.121)
Dy (0.500, 0.000, 0.374)
Dy (0.500, 0.000, 0.626)
Dy (0.500, 0.000, 0.879)
In (0.500, 0.500, 0.248)
In (0.500, 0.500, 0.500)
In (0.500, 0.500, 0.752)
Ag (0.500, 0.500, 0.000)


(12)
This record from Alexandria via LeMat-Bulk describes MgAl2Ga6 after structural relaxation. The functional is PBE-GGA.

Computed properties:
The total energy is -3.02 eV per atom. Its polymorph energy (0 for the lowest one) is 0 meV/atom.

abc: 8.135 8.135 5.772
angles: 108.31 108.31 92.45
Fractional positions:
Mg (0.145, 0.855, 0.750)
Mg (0.855, 0.145, 0.250)
Al (0.250, 0.352, 0.624)
Al (0.352, 0.250, 0.124)
Al (0.648, 0.750, 0.876)
Al (0.750, 0.648, 0.376)
Ga (0.019, 0.481, 0.259)
Ga (0.028, 0.222, 0.847)
Ga (0.222, 0.028, 0.347)
Ga (0.366, 0.613, 0.465)
Ga (0.387, 0.634, 0.035)
Ga (0.481, 0.019, 0.759)
Ga (0.519, 0.981, 0.241)
Ga (0.613, 0.366, 0.965)
Ga (0.634, 0.387, 0.535)
Ga (0.778, 0.972, 0.653)
Ga (0.972, 0.778, 0.153)
Ga (0.981, 0.519, 0.741)


(13)
This record from Alexandria via LeMat-Bulk describes Tl2WBr after structural relaxation. The functional is PBE-GGA.

Computed properties:
The total energy is -3.65 eV per atom. Its polymorph energy (0 for the lowest one) is 701 meV/atom. As for the energy relative to the elements, uncorrected: 1.186 eV per atom.

abc: 5.400 5.400 5.400
angles: 60.00 60.00 60.00
Fractional positions:
Tl (0.250, 0.250, 0.250)
Tl (0.750, 0.750, 0.750)
W (0.000, 0.000, 0.000)
Br (0.500, 0.500, 0.500)


(14)
This record from Alexandria via LeMat-Bulk describes Ho3Fe after structural relaxation. The functional is PBE-GGA.

Computed properties:
The total energy is -5.24 eV per atom.

abc: 3.327 3.581 8.936
angles: 90.00 90.00 90.00
Fractional positions:
Ho (0.000, 0.000, 0.000)
Ho (0.000, 0.500, 0.342)
Ho (0.500, 0.500, 0.713)
Fe (0.500, 0.000, 0.492)


(15)
This record from Alexandria via LeMat-Bulk describes Nd13Mg2 after structural relaxation. The functional is PBE-GGA.

Computed properties:
The total energy is -4.33 eV per atom.

abc: 6.324 8.196 10.681
angles: 72.02 74.10 82.74
Fractional positions:
Nd (0.000, 0.000, 0.000)
Nd (0.058, 0.403, 0.726)
Nd (0.204, 0.194, 0.210)
Nd (0.265, 0.601, 0.934)
Nd (0.315, 0.002, 0.660)
Nd (0.429, 0.393, 0.401)
Nd (0.468, 0.797, 0.141)
Nd (0.532, 0.203, 0.859)
Nd (0.571, 0.607, 0.599)
Nd (0.685, 0.998, 0.340)
Nd (0.735, 0.399, 0.066)
Nd (0.796, 0.806, 0.790)
Nd (0.942, 0.597, 0.274)
Mg (0.134, 0.802, 0.467)
Mg (0.866, 0.198, 0.533)


(16)
This record from Alexandria via LeMat-Bulk describes Hf3GaTe after structural relaxation. The functional is PBE-GGA.

Computed properties:
The total energy is -6.73 eV per atom. Its polymorph energy (0 for the lowest one) is 0 meV/atom. As for the energy relative to the elements, uncorrected: 0.479 eV per atom.

abc: 4.985 4.985 4.985
angles: 90.00 90.00 90.00
Fractional positions:
Hf (0.000, 0.000, 0.500)
Hf (0.000, 0.500, 0.000)
Hf (0.500, 0.000, 0.000)
Ga (0.000, 0.000, 0.000)
Te (0.500, 0.500, 0.500)


(17)
This record from Alexandria via LeMat-Bulk describes Ba2AcInSe4 after structural relaxation. The functional is PBE-GGA.

Computed properties:
The total energy is -4.74 eV per atom. As for the energy relative to the elements, uncorrected: -1.663 eV per atom.

abc: 7.909 4.649 8.126
angles: 90.00 108.86 90.00
Fractional positions:
Ba (0.000, 0.000, 0.000)
Ba (0.000, 0.500, 0.500)
Ac (0.500, 0.000, 0.500)
In (0.500, 0.500, 0.000)
Se (0.256, 0.000, 0.735)
Se (0.265, 0.500, 0.265)
Se (0.735, 0.500, 0.735)
Se (0.744, 0.000, 0.265)


(18)
This record from Alexandria via LeMat-Bulk describes MgIr2Ru after structural relaxation. The functional is PBE-GGA.

Computed properties:
The total energy is -7.17 eV per atom.

abc: 8.997 8.997 8.997
angles: 17.82 17.82 17.82
Fractional positions:
Mg (0.000, 0.000, 0.000)
Ir (0.248, 0.248, 0.248)
Ir (0.752, 0.752, 0.752)
Ru (0.500, 0.500, 0.500)


(19)
This record from Alexandria via LeMat-Bulk describes Ac2HoAgO6 after structural relaxation. The functional is PBE-GGA.

Computed properties:
The total energy is -6.93 eV per atom. As for the energy relative to the elements, uncorrected: -2.389 eV per atom.

abc: 5.954 5.954 4.584
angles: 90.00 90.00 90.00
Fractional positions:
Ac (0.000, 0.500, 0.000)
Ac (0.500, 0.000, 0.000)
Ho (0.000, 0.000, 0.568)
Ag (0.500, 0.500, 0.621)
O (0.000, 0.000, 0.102)
O (0.250, 0.250, 0.680)
O (0.250, 0.750, 0.680)
O (0.500, 0.500, 0.132)
O (0.750, 0.250, 0.680)
O (0.750, 0.750, 0.680)


(20)
This record from Alexandria via LeMat-Bulk describes Te2PAuI after structural relaxation. The functional is PBE-GGA.

Computed properties:
The total energy is -2.62 eV per atom. Its polymorph energy (0 for the lowest one) is 0 meV/atom. As for the energy relative to the elements, uncorrected: 0.687 eV per atom.

abc: 5.313 5.313 5.259
angles: 90.00 90.00 90.00
Fractional positions:
Te (0.000, 0.500, 0.000)
Te (0.500, 0.000, 0.000)
P (0.000, 0.000, 0.000)
Au (0.500, 0.500, 0.500)
I (0.000, 0.000, 0.500)